Here is Hf3HgN after structural relaxation from Alexandria via LeMat-Bulk. Energies are from PBE-GGA.

Cell: 4.8389 4.8389 8.7600 Å, 90.00 90.00 120.00°
Atoms (fractional coordinates):
Hg 0.3333 0.6667 0.7500
Hg 0.6667 0.3333 0.2500
N 0.0000 0.0000 0.0000
N 0.0000 0.0000 0.5000
Hf 0.0000 0.0000 0.2500
Hf 0.3333 0.6667 0.0799
Hf 0.0000 0.0000 0.7500
Hf 0.6667 0.3333 0.9201
Hf 0.6667 0.3333 0.5799
Hf 0.3333 0.6667 0.4201

Output
Theoretical density in g/cm3: 14.02
SG: P6_3/mmc
Total moment in μB per atom: 0.000
Formation energy without anion corrections in meV/atom: -156